DFT (GGA-PBEsol) results for a relaxed structure of Lu2CdPd2.

Results
The calculated density is 11.2 g/cm3. The value obtained for the total magnetization is 0.0 Bohr magnetons per cell. The space-group type is P4/mbm. For the energy, the calculation gives -5.397 eV per atom. The calculation puts the calculated formation energy at -0.83 eV per atom.

Unit cell a=7.5482 b=7.5482 c=3.5124 alpha=90.00 beta=90.00 gamma=90.00
With the nearest neighbours (Å) after each atom.
Sites, in units of the cell vectors:
Lu  0.1689  0.3311  0.0000  6 Pd 2.77-2.87
Lu  0.3311  0.8311  0.0000  6 Pd 2.77-2.87
Lu  0.6689  0.1689  0.0000  6 Pd 2.77-2.87
Lu  0.8311  0.6689  0.0000  6 Pd 2.77-2.87
Cd  0.0000  0.0000  0.5000  4 Pd 2.96, 8 Lu 3.31
Cd  0.5000  0.5000  0.5000  4 Pd 2.96, 8 Lu 3.31
Pd  0.1302  0.6302  0.5000  6 Lu 2.77-2.87, 1 Pd 2.78, 2 Cd 2.96
Pd  0.3698  0.1302  0.5000  6 Lu 2.77-2.87, 1 Pd 2.78, 2 Cd 2.96
Pd  0.6302  0.8698  0.5000  6 Lu 2.77-2.87, 1 Pd 2.78, 2 Cd 2.96
Pd  0.8698  0.3698  0.5000  6 Lu 2.77-2.87, 1 Pd 2.78, 2 Cd 2.96